1.
Here is an optimized crystal structure of OsRh2Br from Alexandria. Energies are from GGA-PBE.

uncorrected formation energy: 0.714 eV per atom
E: -6.187 eV per atom
polymorph energy (0 for the lowest one): 0.2441 eV/atom
space group: Imm2 (44)

abc: 6.6090 6.6090 6.6090
angles: 155.13 142.87 45.21
Positions (direct):
Os1 0.0000 0.0000 0.0000
Rh1 0.1807 0.6807 0.5000
Rh2 0.5516 0.5516 0.0000
Br1 0.8199 0.3199 0.5000

2.
Here is an optimized crystal structure of NaGe4Pd4 from Alexandria. Energies are from GGA-PBE.

calculated formation energy: -344 meV/atom
E: -4.850 eV per atom
space group: I4/m (87)

abc: 6.5517 6.5517 6.5517
angles: 97.97 97.97 136.26
Positions (direct):
Na1 0.0000 0.0000 0.0000
Ge1 0.1892 0.3311 0.5203
Ge2 0.3311 0.8108 0.1419
Ge3 0.6689 0.1892 0.8581
Ge4 0.8108 0.6689 0.4797
Pd1 0.1096 0.6198 0.7295
Pd2 0.3802 0.1096 0.4898
Pd3 0.6198 0.8904 0.5102
Pd4 0.8904 0.3802 0.2705

3.
Here is an optimized crystal structure of TbYTe2O8 from Alexandria. Energies are from GGA-PBE.

uncorrected formation energy: -1.942 eV per atom
E: -6.696 eV per atom
space group: I-4m2 (119)

abc: 6.2503 6.2503 6.2503
angles: 107.59 107.59 113.31
Positions (direct):
Tb1 0.0000 0.0000 0.0000
Y1 0.7500 0.2500 0.5000
Te1 0.2500 0.7500 0.5000
Te2 0.5000 0.5000 0.0000
O1 0.0493 0.3643 0.3149
O2 0.0493 0.7344 0.6851
O3 0.1116 0.2975 0.8141
O4 0.2656 0.9507 0.3149
O5 0.4834 0.2975 0.1859
O6 0.6357 0.9507 0.6851
O7 0.7025 0.5166 0.8141
O8 0.7025 0.8884 0.1859

4.
Here is an optimized crystal structure of Sc2CrTc from Alexandria. Energies are from GGA-PBE.

calculated formation energy: 296 meV/atom
E: -7.867 eV per atom
polymorph energy (0 for the lowest one): 0.3374 eV/atom
space group: R-3m (166)

abc: 8.8431 8.8431 8.8431
angles: 20.55 20.55 20.55
Positions (direct):
Sc1 0.2428 0.2428 0.2428
Sc2 0.7572 0.7572 0.7572
Cr1 0.0000 0.0000 0.0000
Tc1 0.5000 0.5000 0.5000